Material: CsScMnF6
Method: DFT, PBE+U
State: relaxed

For the calculated volume, the calculation gives 20.1 Å³ per atom. As for the energy: -0.4551 Ry/atom. The calculation puts the magnetic moment at 10.00 μB per cell.

Geometry as CIF:
```
data_CsScMnF6
_chemical_formula_sum 'Cs2 Sc2 Mn2 F12'
_space_group_name_H-M_alt 'C 1 2 1'
_space_group_IT_number 5
_cell_length_a 5.725
_cell_length_b 9.896
_cell_length_c 6.395
_cell_angle_alpha 90.00
_cell_angle_beta 90.08
_cell_angle_gamma 90.00
loop_
_space_group_symop_operation_xyz
'x,y,z'
'-x,y,-z'
'x+1/2,y+1/2,z'
'-x+1/2,y+1/2,-z'
loop_
_atom_site_label
_atom_site_type_symbol
_atom_site_fract_x
_atom_site_fract_y
_atom_site_fract_z
Cs1 Cs 0.000 0.000 0.000
Sc1 Sc 0.000 0.333 0.500
Mn1 Mn 0.000 0.667 0.500
F1 F 0.106 0.494 0.680
F2 F 0.185 0.201 0.680
F3 F 0.207 0.807 0.678
```